1.
DFT (PBE) results for a geometry-optimized PaAgBrCl6 structure.

Results
E ... -35.869 eV/cell
E_form (uncorrected) ... -1.197 eV per atom

Unit cell a=6.772 b=6.772 c=8.683 alpha=89.72 beta=89.92 gamma=60.00
Space group P1 (No. 1)
Unique sites:
Pa 0.000 0.000 0.000 (multiplicity 1)
Ag 0.666 0.667 0.000 (multiplicity 1)
Br 0.332 0.334 0.500 (multiplicity 1)
Cl 0.310 0.693 0.174 (multiplicity 1)
Cl 0.310 0.997 0.826 (multiplicity 1)
Cl 0.694 0.310 0.826 (multiplicity 1)
Cl 0.694 0.996 0.174 (multiplicity 1)
Cl 0.996 0.695 0.827 (multiplicity 1)
Cl 0.997 0.309 0.173 (multiplicity 1)



2.
DFT (PBE) results for a geometry-optimized AgPb2Br4Cl structure.

Results
E ... -50.313 eV/cell
E_form (uncorrected) ... -0.794 eV per atom

Unit cell a=14.394 b=4.171 c=10.379 alpha=90.00 beta=124.05 gamma=90.00
Space group C2/m (No. 12)
Unique sites:
Ag 0.000 0.000 0.000 (multiplicity 2)
Pb 0.170 0.000 0.741 (multiplicity 4)
Br 0.117 0.500 0.922 (multiplicity 4)
Br 0.188 0.000 0.287 (multiplicity 4)
Cl 0.000 0.500 0.500 (multiplicity 2)



3.
DFT (PBE) results for a geometry-optimized AgPbBrCl2 structure.

Results
E ... -31.794 eV/cell
E_form (uncorrected) ... -0.794 eV per atom

Unit cell a=8.201 b=4.207 c=8.784 alpha=90.00 beta=100.74 gamma=90.00
Space group P2_1/m (No. 11)
Unique sites:
Ag 0.172 0.250 0.306 (multiplicity 2)
Pb 0.325 0.250 0.790 (multiplicity 2)
Br 0.272 0.750 0.494 (multiplicity 2)
Cl 0.113 0.750 0.869 (multiplicity 2)
Cl 0.412 0.250 0.130 (multiplicity 2)



4.
DFT (PBE) results for a geometry-optimized AgPb3Br2Cl6 structure.

Results
E ... -77.298 eV/cell
E_form (uncorrected) ... -0.854 eV per atom

Unit cell a=14.248 b=8.493 c=6.480 alpha=90.00 beta=93.60 gamma=90.00
Space group C2/m (No. 12)
Unique sites:
Ag 0.000 0.000 0.000 (multiplicity 2)
Pb 0.000 0.500 0.500 (multiplicity 2)
Pb 0.250 0.250 0.000 (multiplicity 4)
Br 0.186 0.500 0.301 (multiplicity 4)
Cl 0.071 0.257 0.764 (multiplicity 8)
Cl 0.153 0.000 0.211 (multiplicity 4)



5.
DFT (PBE) results for a geometry-optimized Ag3PtBr6Cl2 structure.

Results
E ... -63.820 eV/cell
E_form (uncorrected) ... -0.299 eV per atom

Unit cell a=14.029 b=7.775 c=6.308 alpha=90.00 beta=102.19 gamma=90.00
Space group C2/m (No. 12)
Unique sites:
Ag 0.000 0.000 0.000 (multiplicity 2)
Ag 0.250 0.250 0.500 (multiplicity 4)
Pt 0.000 0.500 0.500 (multiplicity 2)
Br 0.095 0.268 0.730 (multiplicity 8)
Br 0.121 0.500 0.260 (multiplicity 4)
Cl 0.161 0.000 0.238 (multiplicity 4)



6.
DFT (PBE) results for a geometry-optimized Ag3PtBr2Cl6 structure.

Results
E ... -67.206 eV/cell
E_form (uncorrected) ... -0.382 eV per atom

Unit cell a=13.823 b=7.554 c=5.940 alpha=90.00 beta=94.73 gamma=90.00
Space group C2/m (No. 12)
Unique sites:
Ag 0.000 0.000 0.000 (multiplicity 2)
Ag 0.250 0.250 0.500 (multiplicity 4)
Pt 0.000 0.500 0.500 (multiplicity 2)
Br 0.175 0.000 0.208 (multiplicity 4)
Cl 0.079 0.276 0.724 (multiplicity 8)
Cl 0.130 0.500 0.272 (multiplicity 4)



7.
DFT (PBE) results for a geometry-optimized PuAgBrCl6 structure.

Results
E ... -76.431 eV/cell
E_form (uncorrected) ... -0.920 eV per atom

Unit cell a=6.657 b=11.534 c=7.820 alpha=90.00 beta=90.09 gamma=90.00
Space group C2 (No. 5)
Unique sites:
Pu 0.000 0.000 0.000 (multiplicity 2)
Ag 0.000 0.333 0.000 (multiplicity 2)
Br 0.000 0.666 0.500 (multiplicity 2)
Cl 0.150 0.158 0.192 (multiplicity 4)
Cl 0.162 0.846 0.192 (multiplicity 4)
Cl 0.189 0.496 0.192 (multiplicity 4)



8.
DFT (PBE) results for a geometry-optimized PuAg3Br2Cl6 structure.

Results
E ... -95.912 eV/cell
E_form (uncorrected) ... -0.887 eV per atom

Unit cell a=14.058 b=7.847 c=6.212 alpha=90.00 beta=97.18 gamma=90.00
Space group C2/m (No. 12)
Unique sites:
Pu 0.000 0.000 0.000 (multiplicity 2)
Ag 0.000 0.500 0.500 (multiplicity 2)
Ag 0.250 0.250 0.000 (multiplicity 4)
Br 0.171 0.500 0.742 (multiplicity 4)
Cl 0.080 0.237 0.249 (multiplicity 8)
Cl 0.146 0.000 0.773 (multiplicity 4)



9.
DFT (PBE) results for a geometry-optimized RbAgBrCl structure.

Results
E ... -23.474 eV/cell
E_form (uncorrected) ... -1.100 eV per atom

Unit cell a=4.726 b=4.462 c=12.923 alpha=90.00 beta=90.00 gamma=90.00
Space group Amm2 (No. 38)
Unique sites:
Rb 0.000 0.000 0.000 (multiplicity 2)
Ag 0.500 0.000 0.765 (multiplicity 2)
Br 0.500 0.000 0.398 (multiplicity 2)
Cl 0.000 0.000 0.685 (multiplicity 2)



10.
DFT (PBE) results for a geometry-optimized RbAgBr2Cl6 structure.

Results
E ... -23.223 eV/cell
E_form (uncorrected) ... -0.498 eV per atom

Unit cell a=7.043 b=7.524 c=7.769 alpha=95.83 beta=103.16 gamma=113.15
Space group P-1 (No. 2)
Unique sites:
Rb 0.000 0.000 0.000 (multiplicity 1)
Ag 0.000 0.500 0.500 (multiplicity 1)
Br 0.326 0.716 0.121 (multiplicity 2)
Cl 0.168 0.320 0.390 (multiplicity 2)
Cl 0.188 0.779 0.387 (multiplicity 2)
Cl 0.451 0.699 0.876 (multiplicity 2)



11.
DFT (PBE) results for a geometry-optimized Rb3Ag2Br2Cl3 structure.

Results
E ... -59.993 eV/cell
E_form (uncorrected) ... -1.251 eV per atom

Unit cell a=5.167 b=5.167 c=27.057 alpha=90.00 beta=90.00 gamma=90.00
Space group I4/mmm (No. 139)
Unique sites:
Rb 0.000 0.000 0.000 (multiplicity 2)
Rb 0.000 0.000 0.372 (multiplicity 4)
Ag 0.000 0.000 0.210 (multiplicity 4)
Br 0.000 0.500 0.250 (multiplicity 4)
Cl 0.000 0.000 0.116 (multiplicity 4)
Cl 0.000 0.000 0.500 (multiplicity 2)



12.
DFT (PBE) results for a geometry-optimized Rb3Ag2Br2Cl5 structure.

Results
E ... -69.884 eV/cell
E_form (uncorrected) ... -1.146 eV per atom

Unit cell a=5.211 b=5.211 c=27.120 alpha=90.00 beta=90.00 gamma=90.00
Space group I4/mmm (No. 139)
Unique sites:
Rb 0.000 0.000 0.000 (multiplicity 2)
Rb 0.000 0.000 0.175 (multiplicity 4)
Ag 0.000 0.000 0.406 (multiplicity 4)
Br 0.000 0.000 0.306 (multiplicity 4)
Cl 0.000 0.000 0.500 (multiplicity 2)
Cl 0.000 0.500 0.091 (multiplicity 8)



13.
DFT (PBE) results for a geometry-optimized Rb2AgBrCl6 structure.

Results
E ... -52.940 eV/cell
E_form (uncorrected) ... -0.893 eV per atom

Unit cell a=7.351 b=7.351 c=11.629 alpha=90.00 beta=90.00 gamma=90.00
Space group I4/mmm (No. 139)
Unique sites:
Rb 0.000 0.500 0.250 (multiplicity 4)
Ag 0.000 0.000 0.000 (multiplicity 2)
Br 0.000 0.000 0.500 (multiplicity 2)
Cl 0.000 0.000 0.208 (multiplicity 4)
Cl 0.239 0.239 0.500 (multiplicity 8)



14.
DFT (PBE) results for a geometry-optimized Rb2AgBr3Cl structure.

Results
E ... -39.395 eV/cell
E_form (uncorrected) ... -1.149 eV per atom

Unit cell a=5.277 b=5.340 c=17.320 alpha=90.00 beta=90.00 gamma=90.00
Space group Immm (No. 71)
Unique sites:
Rb 0.000 0.000 0.137 (multiplicity 4)
Ag 0.000 0.000 0.500 (multiplicity 2)
Br 0.000 0.000 0.340 (multiplicity 4)
Br 0.000 0.500 0.500 (multiplicity 2)
Cl 0.000 0.500 0.000 (multiplicity 2)



15.
DFT (PBE) results for a geometry-optimized Rb2AgBr6Cl structure.

Results
E ... -47.539 eV/cell
E_form (uncorrected) ... -0.710 eV per atom

Unit cell a=7.633 b=7.633 c=11.903 alpha=90.00 beta=90.00 gamma=90.00
Space group I4/mmm (No. 139)
Unique sites:
Rb 0.000 0.500 0.250 (multiplicity 4)
Ag 0.000 0.000 0.000 (multiplicity 2)
Br 0.000 0.000 0.213 (multiplicity 4)
Br 0.242 0.242 0.500 (multiplicity 8)
Cl 0.000 0.000 0.500 (multiplicity 2)



16.
DFT (PBE) results for a geometry-optimized Rb3Ag2Br4Cl2 structure.

Results
E ... -63.453 eV/cell
E_form (uncorrected) ... -1.158 eV per atom

Unit cell a=5.275 b=5.275 c=27.914 alpha=90.00 beta=90.00 gamma=90.00
Space group I4/mmm (No. 139)
Unique sites:
Rb 0.000 0.000 0.000 (multiplicity 2)
Rb 0.000 0.000 0.185 (multiplicity 4)
Ag 0.000 0.000 0.396 (multiplicity 4)
Br 0.000 0.500 0.084 (multiplicity 8)
Cl 0.000 0.000 0.301 (multiplicity 4)



17.
DFT (PBE) results for a geometry-optimized RbAg2Br2Cl structure.

Results
E ... -33.858 eV/cell
E_form (uncorrected) ... -0.844 eV per atom

Unit cell a=8.540 b=5.780 c=8.555 alpha=90.00 beta=107.39 gamma=90.00
Space group P2_1/m (No. 11)
Unique sites:
Rb 0.232 0.250 0.270 (multiplicity 2)
Ag 0.306 0.000 0.809 (multiplicity 4)
Br 0.057 0.250 0.842 (multiplicity 2)
Br 0.338 0.750 0.559 (multiplicity 2)
Cl 0.402 0.750 0.100 (multiplicity 2)



18.
DFT (PBE) results for a geometry-optimized RbAg2BrCl2 structure.

Results
E ... -34.797 eV/cell
E_form (uncorrected) ... -0.894 eV per atom

Unit cell a=7.799 b=5.833 c=8.971 alpha=90.00 beta=109.09 gamma=90.00
Space group P2_1/m (No. 11)
Unique sites:
Rb 0.172 0.250 0.369 (multiplicity 2)
Ag 0.376 0.001 0.829 (multiplicity 4)
Br 0.298 0.750 0.069 (multiplicity 2)
Cl 0.083 0.250 0.711 (multiplicity 2)
Cl 0.394 0.750 0.595 (multiplicity 2)



19.
DFT (PBE) results for a geometry-optimized ReAg3Br2Cl6 structure.

Results
E ... -82.253 eV/cell
E_form (uncorrected) ... -0.475 eV per atom

Unit cell a=14.439 b=7.589 c=5.975 alpha=90.00 beta=98.45 gamma=90.00
Space group C2/m (No. 12)
Unique sites:
Re 0.000 0.000 0.000 (multiplicity 2)
Ag 0.000 0.500 0.500 (multiplicity 2)
Ag 0.250 0.250 0.000 (multiplicity 4)
Br 0.175 0.500 0.727 (multiplicity 4)
Cl 0.080 0.220 0.229 (multiplicity 8)
Cl 0.121 0.000 0.778 (multiplicity 4)



20.
DFT (PBE) results for a geometry-optimized AgRuBr2Cl structure.

Results
E ... -11.927 eV/cell
E_form (uncorrected) ... 1.078 eV per atom

Unit cell a=5.930 b=5.930 c=4.578 alpha=90.00 beta=90.00 gamma=90.00
Space group P4/mmm (No. 123)
Unique sites:
Ag 0.000 0.000 0.000 (multiplicity 1)
Ru 0.500 0.500 0.000 (multiplicity 1)
Br 0.000 0.500 0.500 (multiplicity 2)
Cl 0.000 0.000 0.500 (multiplicity 1)



21.
DFT (PBE) results for a geometry-optimized Ag3RuBr6Cl2 structure.

Results
E ... -70.156 eV/cell
E_form (uncorrected) ... -0.293 eV per atom

Unit cell a=14.514 b=7.568 c=6.146 alpha=90.00 beta=100.89 gamma=90.00
Space group C2/m (No. 12)
Unique sites:
Ag 0.000 0.000 0.000 (multiplicity 2)
Ag 0.250 0.250 0.500 (multiplicity 4)
Ru 0.000 0.500 0.500 (multiplicity 2)
Br 0.086 0.265 0.746 (multiplicity 8)
Br 0.126 0.500 0.275 (multiplicity 4)
Cl 0.166 0.000 0.263 (multiplicity 4)



22.
DFT (PBE) results for a geometry-optimized Ag6SBr3Cl2 structure.

Results
E ... -66.020 eV/cell
E_form (uncorrected) ... -0.255 eV per atom

Unit cell a=7.531 b=11.598 c=7.480 alpha=90.00 beta=118.84 gamma=90.00
Space group C2/m (No. 12)
Unique sites:
Ag 0.210 0.000 0.310 (multiplicity 4)
Ag 0.227 0.161 0.741 (multiplicity 8)
S 0.000 0.000 0.500 (multiplicity 2)
Br 0.000 0.174 0.000 (multiplicity 4)
Br 0.000 0.500 0.000 (multiplicity 2)
Cl 0.000 0.334 0.500 (multiplicity 4)